Here is a geometry-optimized Ca2AgH6Ir structure from Alexandria via LeMat-Bulk. Energies are from PBE.

Cell lengths 4.6514, 4.6514, 7.3755 Å; angles 90.00, 90.00, 120.00 degrees
Closest atoms and distances in Å follow each position.
Fractional coordinates of all 10 atoms:
Ca  0.3333  0.6667  0.2027  6 H 2.39
Ca  0.6667  0.3333  0.7973  6 H 2.39
Ag  0.0000  0.0000  0.5000  6 H 3.07
H  0.1712  0.3424  0.8714  1 Ir 1.67
H  0.1712  0.8288  0.8714  1 Ir 1.67
H  0.3424  0.1712  0.1286  1 Ir 1.67
H  0.6576  0.8288  0.8714  1 Ir 1.67
H  0.8288  0.1712  0.1286  1 Ir 1.67
H  0.8288  0.6576  0.1286  1 Ir 1.67
Ir  0.0000  0.0000  0.0000  6 H 1.67

Computed properties:
Density = 4.64 g/cm3
N(E_F) = 0.67 states/eV per cell
Total DFT energy (no corrections) = -39.9 eV/cell

***

Here is a geometry-optimized TlRePd2C structure from Alexandria via LeMat-Bulk. Energies are from PBE.

Cell lengths 5.1195, 5.1195, 4.0377 Å; angles 90.00, 90.00, 90.00 degrees
Closest atoms and distances in Å follow each position.
Fractional coordinates of all 5 atoms:
Tl  0.0000  0.0000  0.0000  2 C 2.02
Re  0.5000  0.5000  0.5000  8 Pd 3.26, 4 C 3.62
Pd  0.0000  0.5000  0.0000  2 Tl 2.56
Pd  0.5000  0.0000  0.0000  2 Tl 2.56
C  0.0000  0.0000  0.5000  2 Tl 2.02

Computed properties:
Density = 9.66 g/cm3
N(E_F) = 2.82 states/eV per cell
Total DFT energy (no corrections) = -22.2 eV/cell
Formation enthalpy at 0 K = 2.44 eV per atom

***

Here is a geometry-optimized Zn2PtN2 structure from Alexandria via LeMat-Bulk. Energies are from PBE.

Cell lengths 6.4853, 6.4853, 2.7817 Å; angles 90.00, 90.00, 90.00 degrees
Closest atoms and distances in Å follow each position.
Fractional coordinates of all 10 atoms:
Zn  0.1379  0.3621  0.0000  2 N 2.20
Zn  0.3621  0.8621  0.0000  2 N 2.20
Zn  0.6379  0.1379  0.0000  2 N 2.20
Zn  0.8621  0.6379  0.0000  2 N 2.20
Pt  0.0000  0.0000  0.0000  4 Zn 2.51, 8 N 2.77, 2 Pt 2.78
Pt  0.5000  0.5000  0.0000  4 Zn 2.51, 8 N 2.77, 2 Pt 2.78
N  0.1761  0.6761  0.5000  2 Zn 2.20
N  0.3239  0.1761  0.5000  2 Zn 2.20
N  0.6761  0.8239  0.5000  2 Zn 2.20
N  0.8239  0.3239  0.5000  2 Zn 2.20

Computed properties:
Density = 10.05 g/cm3
N(E_F) = 6.56 states/eV per cell
Total DFT energy (no corrections) = -39.2 eV/cell
Raw formation energy = 1128 meV per atom

***

Here is a geometry-optimized KTaCdS4 structure from Alexandria via LeMat-Bulk. Energies are from PBE.

Cell lengths 6.2042, 7.7332, 8.9594 Å; angles 90.00, 103.74, 90.00 degrees
Closest atoms and distances in Å follow each position.
Fractional coordinates of all 14 atoms:
K  0.2483  0.2500  0.3970  4 S 3.31-3.36
K  0.7517  0.7500  0.6030  4 S 3.31-3.36
Ta  0.3035  0.7500  0.2008  4 S 2.29-2.31
Ta  0.6965  0.2500  0.7992  4 S 2.29-2.31
Cd  0.2092  0.2500  0.8421  4 S 2.52-2.68
Cd  0.7909  0.7500  0.1579  4 S 2.52-2.68
S  0.0382  0.7500  0.9714  1 Ta 2.31, 1 Cd 2.52
S  0.1356  0.7500  0.4027  1 Ta 2.29
S  0.4708  0.0123  0.7803  1 Ta 2.29
S  0.4708  0.4877  0.7803  1 Ta 2.29
S  0.5292  0.5123  0.2197  1 Ta 2.29
S  0.5292  0.9877  0.2197  1 Ta 2.29
S  0.8644  0.2500  0.5973  1 Ta 2.29
S  0.9618  0.2500  0.0286  1 Ta 2.31, 1 Cd 2.52

Computed properties:
Density = 3.66 g/cm3
N(E_F) = 0.00 states/eV per cell
Total DFT energy (no corrections) = -73.5 eV/cell
Raw formation energy = -909 meV per atom

***

Here is a geometry-optimized Ba2PrPtO5 structure from Alexandria via LeMat-Bulk. Energies are from PBE.

Cell lengths 6.8822, 6.8822, 6.3979 Å; angles 90.00, 90.00, 90.00 degrees
Closest atoms and distances in Å follow each position.
Fractional coordinates of all 18 atoms:
Ba  0.1672  0.3328  0.0000  4 O 2.56-2.57
Ba  0.3328  0.8328  0.0000  4 O 2.56-2.57
Ba  0.6672  0.1672  0.0000  4 O 2.56-2.57
Ba  0.8328  0.6672  0.0000  4 O 2.56-2.57
Pr  0.0000  0.0000  0.5000  10 O 2.90-3.20
Pr  0.5000  0.5000  0.5000  10 O 2.90-3.20
Pt  0.0000  0.5000  0.5000  4 O 1.99
Pt  0.5000  0.0000  0.5000  4 O 1.99
O  0.0000  0.0000  0.0000  4 Ba 2.56
O  0.1557  0.6557  0.2979  1 Pt 1.99
O  0.1557  0.6557  0.7021  1 Pt 1.99
O  0.3443  0.1557  0.2979  1 Pt 1.99
O  0.3443  0.1557  0.7021  1 Pt 1.99
O  0.5000  0.5000  0.0000  4 Ba 2.56
O  0.6557  0.8443  0.2979  1 Pt 1.99
O  0.6557  0.8443  0.7021  1 Pt 1.99
O  0.8443  0.3443  0.2979  1 Pt 1.99
O  0.8443  0.3443  0.7021  1 Pt 1.99

Computed properties:
Density = 7.57 g/cm3
N(E_F) = 15.07 states/eV per cell
Total DFT energy (no corrections) = -114.1 eV/cell
Raw formation energy = -1953 meV per atom

***

Here is a geometry-optimized AlBi structure from Alexandria via LeMat-Bulk. Energies are from PBE.

Cell lengths 7.8644, 7.8644, 4.5754 Å; angles 90.00, 90.00, 90.00 degrees
Closest atoms and distances in Å follow each position.
Fractional coordinates of all 8 atoms:
Al  0.1733  0.1733  0.0000  4 Bi 2.78-2.81
Al  0.3267  0.6733  0.5000  4 Bi 2.78-2.81
Al  0.6733  0.3267  0.5000  4 Bi 2.78-2.81
Al  0.8267  0.8267  0.0000  4 Bi 2.78-2.81
Bi  0.1841  0.8159  0.0000  4 Al 2.78-2.81
Bi  0.3159  0.3159  0.5000  4 Al 2.78-2.81
Bi  0.6841  0.6841  0.5000  4 Al 2.78-2.81
Bi  0.8159  0.1841  0.0000  4 Al 2.78-2.81

Computed properties:
Density = 5.54 g/cm3
N(E_F) = 0.57 states/eV per cell
Total DFT energy (no corrections) = -29.4 eV/cell
Formation enthalpy at 0 K = 0.14 eV per atom